1.
Here is TaZnSnPd2 after structural relaxation from the Alexandria database. Energies are from PBE-GGA.

Results
symmetry = P4/mmm, No. 123
excess energy over the best structure of this formula in the dataset = 0.195 eV per atom
energy relative to the elements = 77.6 kJ/mol of atoms

Lattice parameters (Å, degrees): 4.8774 5.0557 4.8774 90.00 90.00 90.00
Positions (direct):
1 Zn 0.0000 0.5000 0.0000
2 Sn 0.5000 0.5000 0.5000
3 Pd 0.0000 0.0000 0.5000
4 Pd 0.5000 0.0000 0.0000
5 Ta 0.0000 0.0000 0.0000

2.
Here is PaNbGa2O8 after structural relaxation from the Alexandria database. Energies are from PBE-GGA.

Results
symmetry = P-3m1, No. 164
uncorrected formation energy = -1.951 eV/atom

Lattice parameters (Å, degrees): 5.8099 5.8099 5.9801 90.00 90.00 120.00
Site moments in Bohr magnetons follow the coordinates.
Positions (direct):
1 Pa 0.0000 0.0000 0.0000  -0.03
2 Nb 0.0000 0.0000 0.5000  -0.01
3 Ga 0.6667 0.3333 0.3813  0.00
4 Ga 0.3333 0.6667 0.6187  0.00
5 O 0.8470 0.1530 0.2686  0.01
6 O 0.8470 0.6939 0.2686  0.01
7 O 0.3061 0.1530 0.2686  0.01
8 O 0.6939 0.8470 0.7314  0.01
9 O 0.3333 0.6667 0.3239  0.24
10 O 0.6667 0.3333 0.6761  0.24
11 O 0.1530 0.8470 0.7314  0.01
12 O 0.1530 0.3061 0.7314  0.01

3.
Here is HoU3Se6 after structural relaxation from the Alexandria database. Energies are from PBE-GGA.

Results
symmetry = P2_1/m, No. 11
uncorrected formation energy = -1.240 eV/atom

Lattice parameters (Å, degrees): 4.0092 11.5378 11.9828 108.53 90.00 90.00
Site moments in Bohr magnetons follow the coordinates.
Positions (direct):
1 Ho 0.7500 0.0433 0.6917  0.03
2 Ho 0.2500 0.9567 0.3083  0.03
3 U 0.7500 0.4266 0.8333  2.64
4 U 0.2500 0.5734 0.1667  2.64
5 U 0.7500 0.6807 0.4973  2.60
6 U 0.2500 0.3193 0.5027  2.60
7 U 0.7500 0.1491 0.0759  -2.50
8 U 0.2500 0.8509 0.9241  -2.50
9 Se 0.7500 0.4937 0.6248  -0.07
10 Se 0.2500 0.5063 0.3752  -0.07
11 Se 0.7500 0.9142 0.1062  0.05
12 Se 0.2500 0.0858 0.8938  0.05
13 Se 0.7500 0.3930 0.0626  -0.03
14 Se 0.2500 0.6070 0.9374  -0.03
15 Se 0.7500 0.7514 0.2814  -0.05
16 Se 0.2500 0.2486 0.7186  -0.05
17 Se 0.7500 0.1135 0.4653  -0.03
18 Se 0.2500 0.8865 0.5347  -0.03
19 Se 0.7500 0.8086 0.7489  0.03
20 Se 0.2500 0.1914 0.2511  0.03

4.
Here is ZnCr2Si after structural relaxation from the Alexandria database. Energies are from PBE-GGA.

Results
symmetry = I-4m2, No. 119
uncorrected formation energy = 0.055 eV/atom

Lattice parameters (Å, degrees): 4.4607 4.4607 4.4607 130.10 130.10 73.25
Site moments in Bohr magnetons follow the coordinates.
Positions (direct):
1 Cr 0.0000 0.0000 0.0000  1.78
2 Cr 0.2500 0.7500 0.5000  -1.68
3 Si 0.5000 0.5000 0.0000  -0.01
4 Zn 0.7500 0.2500 0.5000  0.02

5.
Here is LiAs2Ru after structural relaxation from the Alexandria database. Energies are from PBE-GGA.

Results
symmetry = C2/m, No. 12
energy relative to the elements = -27.1 kJ/mol of atoms

Lattice parameters (Å, degrees): 4.1928 4.1928 5.4298 80.37 80.37 43.00
Positions (direct):
1 As 0.9867 0.9867 0.0250
2 As 0.5133 0.5133 0.4750
3 Li 0.7500 0.7500 0.7500
4 Ru 0.2500 0.2500 0.2500

6.
Here is Tb2In2Ni15 after structural relaxation from the Alexandria database. Energies are from PBE-GGA.

Results
symmetry = R-3m, No. 166
energy relative to the elements = -17.1 kJ/mol of atoms

Lattice parameters (Å, degrees): 6.4142 6.4142 6.4142 82.65 82.65 82.65
Site moments in Bohr magnetons follow the coordinates.
Positions (direct):
1 Tb 0.3547 0.3547 0.3547  -0.05
2 Tb 0.6453 0.6453 0.6453  -0.05
3 In 0.1078 0.1078 0.1078  -0.01
4 In 0.8922 0.8922 0.8922  -0.01
5 Ni 0.5000 0.0000 0.0000  0.24
6 Ni 0.0000 0.0000 0.5000  0.24
7 Ni 0.0000 0.5000 0.0000  0.24
8 Ni 0.0000 0.6954 0.3046  0.23
9 Ni 0.6954 0.3046 0.0000  0.23
10 Ni 0.3046 0.0000 0.6954  0.23
11 Ni 0.3046 0.6954 0.0000  0.23
12 Ni 0.6954 0.0000 0.3046  0.23
13 Ni 0.0000 0.3046 0.6954  0.23
14 Ni 0.1605 0.6516 0.6516  0.25
15 Ni 0.6516 0.6516 0.1605  0.25
16 Ni 0.6516 0.1605 0.6516  0.25
17 Ni 0.8395 0.3484 0.3484  0.25
18 Ni 0.3484 0.3484 0.8395  0.25
19 Ni 0.3484 0.8395 0.3484  0.25

7.
Here is Tm5Ga2Sb2 after structural relaxation from the Alexandria database. Energies are from PBE-GGA.

Results
symmetry = Cmce, No. 64
uncorrected formation energy = -0.809 eV/atom

Lattice parameters (Å, degrees): 7.8202 7.8075 8.5273 117.24 90.00 90.00
Positions (direct):
1 Tm 0.0000 0.0000 0.0000
2 Tm 0.5000 0.5000 0.0000
3 Tm 0.8318 0.7986 0.2589
4 Tm 0.1682 0.4604 0.2589
5 Tm 0.3318 0.9604 0.2589
6 Tm 0.6682 0.2986 0.2589
7 Tm 0.1682 0.2014 0.7411
8 Tm 0.8318 0.5396 0.7411
9 Tm 0.6682 0.0396 0.7411
10 Tm 0.3318 0.7014 0.7411
11 Ga 0.6252 0.8736 0.0000
12 Ga 0.3748 0.1264 0.0000
13 Ga 0.1252 0.6264 0.0000
14 Ga 0.8748 0.3736 0.0000
15 Sb 0.0000 0.2062 0.4123
16 Sb 0.5000 0.7062 0.4123
17 Sb 0.0000 0.7938 0.5877
18 Sb 0.5000 0.2938 0.5877

8.
Here is Tl2CuN after structural relaxation from the Alexandria database. Energies are from PBE-GGA.

Results
symmetry = Fm-3m, No. 225
excess energy over the best structure of this formula in the dataset = 0.367 eV per atom
uncorrected formation energy = 1.117 eV/atom

Lattice parameters (Å, degrees): 4.7370 4.7370 4.7370 60.00 60.00 60.00
Site moments in Bohr magnetons follow the coordinates.
Positions (direct):
1 Tl 0.2500 0.2500 0.2500  0.03
2 Tl 0.7500 0.7500 0.7500  0.03
3 Cu 0.5000 0.5000 0.5000  0.06
4 N 0.0000 0.0000 0.0000  0.90

9.
Here is NaSr2Li5 after structural relaxation from the Alexandria database. Energies are from PBE-GGA.

Results
symmetry = P1, No. 1
energy relative to the elements = 6.3 kJ/mol of atoms

Lattice parameters (Å, degrees): 7.0889 8.1647 7.4760 53.79 58.35 93.06
Positions (direct):
1 Na 0.9339 0.9448 0.2285
2 Sr 0.3025 0.6838 0.4218
3 Sr 0.7414 0.3380 0.4936
4 Li 0.7509 0.7203 0.8520
5 Li 0.6602 0.2343 0.1190
6 Li 0.3544 0.8105 0.7944
7 Li 0.3259 0.3571 0.0329
8 Li 0.1537 0.1342 0.6119

10.
Here is K6Cd3Ag after structural relaxation from the Alexandria database. Energies are from PBE-GGA.

Results
symmetry = P2_1/c, No. 14
energy relative to the elements = -0.5 kJ/mol of atoms

Lattice parameters (Å, degrees): 7.1779 10.6262 10.8488 90.53 90.00 90.00
Positions (direct):
1 K 0.9273 0.3268 0.0703
2 K 0.9125 0.3342 0.4294
3 K 0.7418 0.1595 0.7564
4 K 0.2582 0.8405 0.2436
5 K 0.0875 0.6658 0.5706
6 K 0.0727 0.6732 0.9297
7 K 0.5727 0.8268 0.5703
8 K 0.5875 0.8342 0.9294
9 K 0.7582 0.6595 0.2564
10 K 0.2418 0.3405 0.7436
11 K 0.4125 0.1658 0.0706
12 K 0.4273 0.1732 0.4297
13 Cd 0.3274 0.4824 0.2567
14 Cd 0.5000 0.5000 0.0000
15 Cd 0.6726 0.5176 0.7433
16 Cd 0.1726 0.9824 0.7567
17 Cd 0.0000 0.0000 0.5000
18 Cd 0.8274 0.0176 0.2433
19 Ag 0.5000 0.5000 0.5000
20 Ag 0.0000 0.0000 0.0000

11.
Here is CrTcH after structural relaxation from the Alexandria database. Energies are from PBE-GGA.

Results
symmetry = C2/m, No. 12
excess energy over the best structure of this formula in the dataset = 0.000 eV per atom

Lattice parameters (Å, degrees): 2.7468 5.2813 5.2150 53.87 74.78 74.93
Positions (direct):
1 Cr 0.3954 0.9536 0.7555
2 Cr 0.6046 0.0464 0.2445
3 Tc 0.8796 0.4383 0.3016
4 Tc 0.1204 0.5617 0.6984
5 H 0.8077 0.8651 0.0199
6 H 0.1923 0.1349 0.9801

12.
Here is GeOsS2N after structural relaxation from the Alexandria database. Energies are from PBE-GGA.

Results
symmetry = P4/mmm, No. 123
excess energy over the best structure of this formula in the dataset = 1.033 eV per atom
uncorrected formation energy = 1.453 eV/atom

Lattice parameters (Å, degrees): 4.7547 4.7547 3.4301 90.00 90.00 90.00
Site moments in Bohr magnetons follow the coordinates.
Positions (direct):
1 Ge 0.0000 0.0000 0.0000  -0.03
2 Os 0.5000 0.5000 0.5000  0.49
3 S 0.0000 0.5000 0.0000  0.04
4 S 0.5000 0.0000 0.0000  0.04
5 N 0.0000 0.0000 0.5000  0.45

Asked for density across the records above, the calculation gives 7.98 5.62 8.55 6.47 6.69 9.19 8.81 10.74 1.53 2.73 8.58 7.30 g/cm³ in order.
Asked for D(E_F) across the records above, the calculation gives 0.885 0.781 1.438 0.636 0.382 1.323 0.652 0.344 0.657 0.490 0.714 0.671 states/eV/atom in order.